The following is a GGA-PBE calculation of an optimized crystal structure of Ta2ZnSe, from Alexandria via LeMat-Bulk.

Computed properties:
DFT total energy, eV per atom: -6.8491
Energy above the lowest structure with this stoichiometry, meV per atom: 298
ΔE_f (raw), eV per atom: 0.2668
Symmetry: I-4m2

abc: 5.262 5.262 5.262
angles: 136.46 136.46 63.27
Sites, in units of the cell vectors:
Ta: 0.000 0.000 0.000
Ta: 0.750 0.250 0.500
Zn: 0.250 0.750 0.500
Se: 0.500 0.500 0.000